Below is crystalline Cs2LiBr3 at its relaxed geometry, with properties calculated at the PBEsol level.

```
Cs2LiBr3
1.0
4.405 0.000 0.000
0.000 7.871 0.000
-2.203 0.000 12.079
Cs Br Li
4 6 2
Direct
0.177 0.250 0.354
0.995 0.250 0.990
0.823 0.750 0.646
0.005 0.750 0.010
0.413 0.994 0.826
0.205 0.750 0.410
0.413 0.506 0.826
0.587 0.494 0.174
0.587 0.006 0.174
0.795 0.250 0.590
0.350 0.250 0.699
0.650 0.750 0.301
```

The symmetry is No. 63. The theoretical density is 4.06 g/cm3. The calculation puts the final energy at -39.30 eV for the cell shown. The formation energy without anion corrections comes out at -1698.4 meV/atom.


Below is crystalline BeGa2CS at its relaxed geometry, with properties calculated at the PBEsol level.

```
BeGa2CS
1.0
3.354 0.000 0.000
0.000 4.454 0.000
0.000 0.000 4.454
C Be Ga S
1 1 2 1
Direct
0.000 0.000 0.000
0.500 0.000 0.000
0.000 0.000 0.500
0.000 0.500 0.000
0.500 0.500 0.500
```

The symmetry is No. 123. The theoretical density is 4.81 g/cm3. The calculation puts the final energy at -23.52 eV for the cell shown. The formation energy without anion corrections comes out at 238.1 meV/atom.


Below is crystalline MgZn2Co at its relaxed geometry, with properties calculated at the PBEsol level.

```
MgZn2Co
1.0
3.679 0.000 0.000
0.000 3.679 0.000
-1.840 -1.840 3.931
Co Mg Zn
1 1 2
Direct
0.500 0.500 0.000
0.000 0.000 0.000
0.250 0.750 0.500
0.750 0.250 0.500
```

The symmetry is No. 139. The theoretical density is 6.68 g/cm3. The calculation puts the final energy at -12.71 eV for the cell shown.


Below is crystalline KLaAs2 at its relaxed geometry, with properties calculated at the PBEsol level.

```
KLaAs2
1.0
-2.682 2.524 -1.779
-2.621 -0.640 3.045
4.170 4.274 4.480
La K As
1 1 2
Direct
0.689 0.375 0.377
0.449 0.375 0.897
0.268 0.875 0.535
0.095 0.875 0.190
```

The symmetry is No. 38. The theoretical density is 4.56 g/cm3. The calculation puts the final energy at -20.08 eV for the cell shown.